Record 1
A relaxed CeDyNp2S4 crystal. Source: the Alexandria database, functional PBE-GGA.

Fermi-level density of states ... 15.03 states/eV per cell

Cell lengths 6.7802, 3.9353, 6.8448 Å; angles 90.00, 109.47, 90.00 degrees
With the nearest neighbours (Å) after each atom.
Element x y z (fractional)
Ce  0.0000  0.0000  0.0000  6 S 2.82
Dy  0.0000  0.5000  0.5000  6 S 2.78
Np  0.5000  0.0000  0.5000  6 S 2.74
Np  0.5000  0.5000  0.0000  6 S 2.78
S  0.2533  0.0000  0.7466  3 Np 2.74-2.78, 2 Dy 2.78, 1 Ce 2.82
S  0.2577  0.5000  0.2574  3 Np 2.74-2.78, 1 Dy 2.78, 2 Ce 2.82
S  0.7423  0.5000  0.7426  3 Np 2.74-2.78, 1 Dy 2.78, 2 Ce 2.82
S  0.7467  0.0000  0.2534  3 Np 2.74-2.78, 2 Dy 2.78, 1 Ce 2.82

Record 2
A relaxed CeDyNp2Sb4 crystal. Source: the Alexandria database, functional PBE-GGA.

Fermi-level density of states ... 28.47 states/eV per cell

Cell lengths 7.6382, 4.3995, 7.7110 Å; angles 90.00, 109.19, 90.00 degrees
With the nearest neighbours (Å) after each atom.
Element x y z (fractional)
Ce  0.0000  0.0000  0.0000  6 Sb 3.15
Dy  0.0000  0.5000  0.5000  6 Sb 3.12
Np  0.5000  0.0000  0.5000  6 Sb 3.10-3.11
Np  0.5000  0.5000  0.0000  6 Sb 3.13-3.14
Sb  0.2513  0.0000  0.7474  3 Np 3.10-3.13, 2 Dy 3.12, 1 Ce 3.15
Sb  0.2522  0.5000  0.2538  3 Np 3.11-3.14, 1 Dy 3.12, 2 Ce 3.15
Sb  0.7478  0.5000  0.7462  3 Np 3.11-3.14, 1 Dy 3.12, 2 Ce 3.15
Sb  0.7487  0.0000  0.2526  3 Np 3.10-3.13, 2 Dy 3.12, 1 Ce 3.15

Record 3
A relaxed Ce3Dy2O9 crystal. Source: the Alexandria database, functional PBE-GGA.

Fermi-level density of states ... 0.00 states/eV per cell

Cell lengths 13.8309, 13.8309, 13.8309 Å; angles 163.97, 163.97, 22.75 degrees
With the nearest neighbours (Å) after each atom.
Element x y z (fractional)
Ce  0.0000  0.0000  0.0000  8 O 2.30-2.44
Ce  0.3989  0.3989  0.0000  8 O 2.28-2.49
Ce  0.6011  0.6011  0.0000  8 O 2.28-2.49
Dy  0.1950  0.1950  0.0000  4 O 2.16-2.35
Dy  0.8050  0.8050  0.0000  4 O 2.16-2.35
O  0.0549  0.5549  0.5000  4 Ce 2.30-2.44
O  0.1593  0.6593  0.5000  2 Dy 2.16
O  0.3407  0.8407  0.5000  2 Dy 2.16
O  0.4451  0.9451  0.5000  4 Ce 2.30-2.44
O  0.5464  0.0464  0.5000  4 Ce 2.30-2.43
O  0.6457  0.1457  0.5000  2 Ce 2.28, 2 Dy 2.35
O  0.7500  0.2500  0.5000  4 Dy 2.44
O  0.8543  0.3543  0.5000  2 Ce 2.28, 2 Dy 2.35
O  0.9536  0.4536  0.5000  4 Ce 2.30-2.43

Record 4
A relaxed Ce2DyO crystal. Source: the Alexandria database, functional PBE-GGA.

Fermi-level density of states ... 8.87 states/eV per cell

Cell lengths 9.0516, 9.0516, 9.0516 Å; angles 22.77, 22.77, 22.77 degrees
With the nearest neighbours (Å) after each atom.
Element x y z (fractional)
Ce  0.2189  0.2189  0.2189  3 O 2.48
Ce  0.7811  0.7811  0.7811  3 O 2.48
Dy  0.0000  0.0000  0.0000  6 Dy 3.57, 6 Ce 3.66
O  0.5000  0.5000  0.5000  6 Ce 2.48

Record 5
A relaxed Ce4DyO10 crystal. Source: the Alexandria database, functional PBE-GGA.

Fermi-level density of states ... 12.15 states/eV per cell

Cell lengths 15.8937, 15.8937, 15.8937 Å; angles 13.95, 13.95, 13.95 degrees
With the nearest neighbours (Å) after each atom.
Element x y z (fractional)
Ce  0.1005  0.1005  0.1005  8 O 2.33-2.38
Ce  0.2999  0.2999  0.2999  8 O 2.36-2.37
Ce  0.7001  0.7001  0.7001  8 O 2.36-2.37
Ce  0.8995  0.8995  0.8995  8 O 2.33-2.38
Dy  0.5000  0.5000  0.5000  8 O 2.37
O  0.0501  0.0501  0.0501  4 Ce 2.36-2.38
O  0.1499  0.1499  0.1499  1 Ce 2.33, 3 Dy 2.37
O  0.2498  0.2498  0.2498  4 Ce 2.36-2.37
O  0.3500  0.3500  0.3500  4 Ce 2.37
O  0.4498  0.4498  0.4498  3 Ce 2.35, 1 Dy 2.37
O  0.5502  0.5502  0.5502  3 Ce 2.35, 1 Dy 2.37
O  0.6500  0.6500  0.6500  4 Ce 2.37
O  0.7502  0.7502  0.7502  4 Ce 2.36-2.37
O  0.8501  0.8501  0.8501  1 Ce 2.33, 3 Dy 2.37
O  0.9499  0.9499  0.9499  4 Ce 2.36-2.38

Record 6
A relaxed CeDyO crystal. Source: the Alexandria database, functional PBE-GGA.

Fermi-level density of states ... 4.63 states/eV per cell

Cell lengths 3.5511, 3.5511, 5.9163 Å; angles 90.00, 90.00, 120.00 degrees
With the nearest neighbours (Å) after each atom.
Element x y z (fractional)
Ce  0.0000  0.0000  0.0000  3 O 2.50
Dy  0.3333  0.6667  0.4605  3 O 2.42
O  0.6667  0.3333  0.2427  3 Dy 2.42, 3 Ce 2.50

Record 7
A relaxed CeDyO crystal. Source: the Alexandria database, functional PBE-GGA.

Fermi-level density of states ... 9.90 states/eV per cell

Cell lengths 11.7580, 11.7580, 3.7048 Å; angles 90.00, 90.00, 162.76 degrees
With the nearest neighbours (Å) after each atom.
Element x y z (fractional)
Ce  0.0439  0.9561  0.7500  1 O 2.19
Ce  0.9561  0.0439  0.2500  1 O 2.19
Dy  0.1866  0.8134  0.2500  2 O 2.17
Dy  0.8134  0.1866  0.7500  2 O 2.17
O  0.1380  0.8620  0.7500  2 Dy 2.17, 1 Ce 2.19
O  0.8620  0.1380  0.2500  2 Dy 2.17, 1 Ce 2.19

Record 8
A relaxed Ce5Dy2O13 crystal. Source: the Alexandria database, functional PBE-GGA.

Cell lengths 22.4207, 22.4207, 22.4207 Å; angles 9.79, 9.79, 9.79 degrees
With the nearest neighbours (Å) after each atom.
Element x y z (fractional)
Ce  0.0000  0.0000  0.0000  8 O 2.33-2.44
Ce  0.1431  0.1431  0.1431  8 O 2.33-2.45
Ce  0.2858  0.2858  0.2858  7 O 2.31-2.36
Ce  0.4288  0.4288  0.4288  8 O 2.33-2.45
Ce  0.7144  0.7144  0.7144  8 O 2.33-2.45
Dy  0.5716  0.5716  0.5716  5 O 2.12-2.35
Dy  0.8546  0.8546  0.8546  7 O 2.26-2.53
O  0.0348  0.0348  0.0348  4 Ce 2.33-2.37
O  0.1065  0.1065  0.1065  4 Ce 2.33-2.45
O  0.1779  0.1779  0.1779  3 Dy 2.31, 1 Ce 2.33
O  0.2440  0.2440  0.2440  3 Dy 2.24
O  0.3204  0.3204  0.3204  4 Ce 2.31-2.37
O  0.3921  0.3921  0.3921  4 Ce 2.33-2.45
O  0.4636  0.4636  0.4636  4 Ce 2.33-2.37
O  0.5398  0.5398  0.5398  1 Dy 2.12
O  0.6066  0.6066  0.6066  1 Dy 2.35, 3 Ce 2.36
O  0.6777  0.6777  0.6777  4 Ce 2.33-2.45
O  0.7492  0.7492  0.7492  4 Ce 2.33-2.37
O  0.8208  0.8208  0.8208  1 Dy 2.26, 3 Ce 2.33
O  0.9636  0.9636  0.9636  4 Ce 2.33-2.44

Record 9
A relaxed Ce9DyO20 crystal. Source: the Alexandria database, functional PBE-GGA.

Fermi-level density of states ... 29.42 states/eV per cell

Cell lengths 6.6855, 7.7183, 8.6288 Å; angles 102.91, 97.42, 106.78 degrees
With the nearest neighbours (Å) after each atom.
Element x y z (fractional)
Ce  0.0000  0.0000  0.0000  8 O 2.36-2.37
Ce  0.1994  0.8986  0.3982  8 O 2.34-2.37
Ce  0.1997  0.4002  0.3980  8 O 2.34-2.37
Ce  0.3973  0.7986  0.8007  8 O 2.34-2.37
Ce  0.4002  0.3012  0.8012  8 O 2.35-2.38
Ce  0.5998  0.6988  0.1988  8 O 2.35-2.38
Ce  0.6027  0.2014  0.1993  8 O 2.34-2.37
Ce  0.8003  0.5998  0.6020  8 O 2.34-2.37
Ce  0.8006  0.1014  0.6018  8 O 2.34-2.37
Dy  0.0000  0.5000  0.0000  8 O 2.38
O  0.0503  0.2226  0.8485  3 Ce 2.34-2.36, 1 Dy 2.38
O  0.0497  0.7267  0.8489  3 Ce 2.34-2.36, 1 Dy 2.38
O  0.1488  0.6740  0.5492  4 Ce 2.36-2.37
O  0.1498  0.1751  0.5486  4 Ce 2.37-2.38
O  0.2522  0.1253  0.2494  4 Ce 2.37
O  0.2523  0.6261  0.2514  3 Ce 2.35-2.36, 1 Dy 2.38
O  0.3511  0.0751  0.9505  4 Ce 2.36-2.37
O  0.3520  0.5755  0.9492  3 Ce 2.34-2.35, 1 Dy 2.38
O  0.4485  0.0239  0.6497  4 Ce 2.37-2.38
O  0.4488  0.5251  0.6494  4 Ce 2.36-2.37
O  0.5512  0.4749  0.3506  4 Ce 2.36-2.37
O  0.5515  0.9761  0.3503  4 Ce 2.37-2.38
O  0.6480  0.4245  0.0508  3 Ce 2.34-2.35, 1 Dy 2.38
O  0.6489  0.9249  0.0495  4 Ce 2.36-2.37
O  0.7477  0.3739  0.7486  3 Ce 2.35-2.36, 1 Dy 2.38
O  0.7478  0.8747  0.7506  4 Ce 2.37
O  0.8502  0.8249  0.4514  4 Ce 2.37-2.38
O  0.8512  0.3260  0.4508  4 Ce 2.36-2.37
O  0.9503  0.2733  0.1511  3 Ce 2.34-2.36, 1 Dy 2.38
O  0.9497  0.7774  0.1515  3 Ce 2.34-2.36, 1 Dy 2.38

Record 10
A relaxed CeDy3O6 crystal. Source: the Alexandria database, functional PBE-GGA.

Fermi-level density of states ... 2.88 states/eV per cell

Cell lengths 6.8194, 6.8194, 6.8194 Å; angles 91.21, 91.21, 91.21 degrees
With the nearest neighbours (Å) after each atom.
Element x y z (fractional)
Ce  0.0000  0.0000  0.0000  6 O 2.33
Ce  0.5000  0.5000  0.5000  6 O 2.36
Dy  0.0521  0.5607  0.7512  6 O 2.23-2.40
Dy  0.2488  0.9479  0.4393  6 O 2.23-2.40
Dy  0.4393  0.2488  0.9479  6 O 2.23-2.40
Dy  0.5607  0.7512  0.0521  6 O 2.23-2.40
Dy  0.7512  0.0521  0.5607  6 O 2.23-2.40
Dy  0.9479  0.4393  0.2488  6 O 2.23-2.40
O  0.0245  0.8928  0.6757  3 Dy 2.28-2.34, 1 Ce 2.33
O  0.1072  0.3243  0.9755  3 Dy 2.28-2.34, 1 Ce 2.33
O  0.1779  0.6024  0.4280  3 Dy 2.23-2.40, 1 Ce 2.36
O  0.3243  0.9755  0.1072  3 Dy 2.28-2.34, 1 Ce 2.33
O  0.3976  0.5720  0.8221  3 Dy 2.23-2.40, 1 Ce 2.36
O  0.4280  0.1779  0.6024  3 Dy 2.23-2.40, 1 Ce 2.36
O  0.5720  0.8221  0.3976  3 Dy 2.23-2.40, 1 Ce 2.36
O  0.6024  0.4280  0.1779  3 Dy 2.23-2.40, 1 Ce 2.36
O  0.6757  0.0245  0.8928  3 Dy 2.28-2.34, 1 Ce 2.33
O  0.8221  0.3976  0.5720  3 Dy 2.23-2.40, 1 Ce 2.36
O  0.8928  0.6757  0.0245  3 Dy 2.28-2.34, 1 Ce 2.33
O  0.9755  0.1072  0.3243  3 Dy 2.28-2.34, 1 Ce 2.33

Short version: uncorrected formation energy = -13.68, -4.95, -48.19, -4.91, -49.61, -5.15, -4.71, -69.04, -101.58, -34.55 eV/f.u., in the order given.